Record 1
Li2BeAgAs2 | PBE-GGA | optimized geometry

a b c (Å): 5.4521 5.5727 7.6079
angles (deg): 111.48 111.00 90.00
Last column: nearest neighbours and their distance in Å.
Atoms (fractional coordinates):
As  0.4273  0.6229  0.2457  2 Be 2.38, 1 Li 2.66
Li  0.9673  0.6739  0.3478  5 As 2.66-2.91, 2 Ag 2.89
Be  0.5000  0.7500  0.0000  4 As 2.38
Li  0.0327  0.3261  0.6522  5 As 2.66-2.91, 2 Ag 2.89
As  0.1816  0.8771  0.7543  2 Be 2.38, 1 Li 2.66
Li  0.6195  0.8261  0.6522  5 As 2.66-2.91, 2 Ag 2.89
Ag  0.0000  0.2500  0.0000  4 As 2.70, 2 Be 2.73, 2 Ag 2.79, 4 Li 2.89
As  0.8184  0.1229  0.2457  2 Be 2.38, 1 Li 2.66
Ag  0.0000  0.7500  0.0000  4 As 2.70, 2 Be 2.73, 2 Ag 2.79, 4 Li 2.89
As  0.5727  0.3771  0.7543  2 Be 2.38, 1 Li 2.66
Li  0.3805  0.1739  0.3478  5 As 2.66-2.91, 2 Ag 2.89
Be  0.5000  0.2500  0.0000  4 As 2.38

Calculated values
ΔH_f (0 K): -351 meV/atom

Record 2
Sr3Cd2Pd4 | PBE-GGA | optimized geometry

a b c (Å): 4.6339 5.9292 9.1221
angles (deg): 97.62 90.00 113.00
Last column: nearest neighbours and their distance in Å.
Atoms (fractional coordinates):
Pd  0.9155  0.8311  0.3690  2 Cd 2.79, 2 Pd 2.80-3.03
Sr  0.0000  0.0000  0.0000  6 Pd 3.13-3.44
Cd  0.6794  0.3587  0.7766  5 Pd 2.74-2.80
Pd  0.7325  0.4651  0.0858  3 Cd 2.74-2.80, 3 Pd 2.85-3.03
Pd  0.2675  0.5349  0.9142  3 Cd 2.74-2.80, 3 Pd 2.85-3.03
Pd  0.0845  0.1689  0.6310  2 Cd 2.79, 2 Pd 2.80-3.03
Sr  0.6253  0.2506  0.3819  6 Pd 3.09-3.32, 1 Cd 3.43
Cd  0.3206  0.6413  0.2234  5 Pd 2.74-2.80
Sr  0.3747  0.7494  0.6181  6 Pd 3.09-3.32, 1 Cd 3.43

Calculated values
ΔH_f (0 K): -575 meV/atom

Record 3
FeNi5Pt3 | PBE-GGA | optimized geometry

a b c (Å): 6.3025 6.3025 7.8194
angles (deg): 113.77 113.77 90.00
Last column: nearest neighbours and their distance in Å.
Atoms (fractional coordinates):
Pt  0.1358  0.3642  0.0000  4 Ni 2.39-2.45, 1 Pt 2.42
Ni  0.4388  0.3720  0.3107  1 Fe 2.28, 1 Pt 2.39, 1 Ni 2.50
Ni  0.6280  0.1280  0.6893  1 Fe 2.28, 1 Pt 2.39, 1 Ni 2.50
Pt  0.8642  0.6358  0.0000  4 Ni 2.39-2.45, 1 Pt 2.42
Ni  0.9388  0.4388  0.3107  1 Fe 2.28, 1 Pt 2.39, 1 Ni 2.50
Fe  0.7500  0.2500  0.5000  4 Ni 2.28
Ni  0.0612  0.5612  0.6893  1 Fe 2.28, 1 Pt 2.39, 1 Ni 2.50
Fe  0.2500  0.7500  0.5000  4 Ni 2.28
Pt  0.3642  0.8642  0.0000  4 Ni 2.39-2.45, 1 Pt 2.42
Ni  0.3720  0.8720  0.3107  1 Fe 2.28, 1 Pt 2.39, 1 Ni 2.50
Pt  0.6358  0.1358  0.0000  4 Ni 2.39-2.45, 1 Pt 2.42
Ni  0.5612  0.6280  0.6893  1 Fe 2.28, 1 Pt 2.39, 1 Ni 2.50
Ni  0.1280  0.0612  0.6893  1 Fe 2.28, 1 Pt 2.39, 1 Ni 2.50
Pt  0.2500  0.2500  0.5000  8 Ni 2.56
Ni  0.8720  0.9388  0.3107  1 Fe 2.28, 1 Pt 2.39, 1 Ni 2.50
Pt  0.7500  0.7500  0.5000  8 Ni 2.56
Ni  0.5000  0.5000  0.0000  4 Pt 2.45
Ni  0.0000  0.0000  0.0000  4 Pt 2.45

Calculated values
ΔH_f (0 K): 321 meV/atom

Record 4
TiFe3Br | PBE-GGA | optimized geometry

a b c (Å): 4.5210 4.5210 4.5210
angles (deg): 90.00 90.00 90.00
Last column: nearest neighbours and their distance in Å.
Atoms (fractional coordinates):
Ti  0.0000  0.0000  0.0000  6 Fe 2.26
Fe  0.5000  0.0000  0.0000  2 Ti 2.26
Fe  0.0000  0.0000  0.5000  2 Ti 2.26
Fe  0.0000  0.5000  0.0000  2 Ti 2.26
Br  0.5000  0.5000  0.5000  12 Fe 3.20

Calculated values
Formation energy without anion corrections: 6.4 eV/f.u.

Record 5
NbTlCu2 | PBE-GGA | optimized geometry

a b c (Å): 7.1286 7.1286 5.8040
angles (deg): 52.11 52.11 90.00
Last column: nearest neighbours and their distance in Å.
Atoms (fractional coordinates):
Cu  0.3750  0.3834  0.7500  2 Nb 2.58, 2 Tl 2.66, 2 Cu 2.88
Cu  0.1334  0.6250  0.2500  2 Nb 2.58, 2 Tl 2.66, 2 Cu 2.88
Cu  0.6166  0.1250  0.2500  2 Nb 2.58, 2 Tl 2.66, 2 Cu 2.88
Tl  0.0000  0.0000  0.0000  4 Cu 2.66, 2 Nb 2.88
Nb  0.2500  0.7500  0.5000  4 Cu 2.58, 2 Tl 2.88
Nb  0.5000  0.5000  0.0000  4 Cu 2.58, 2 Tl 2.88
Cu  0.8750  0.8666  0.7500  2 Nb 2.58, 2 Tl 2.66, 2 Cu 2.88
Tl  0.7500  0.2500  0.5000  4 Cu 2.66, 2 Nb 2.88

Calculated values
ΔH_f (0 K): 642 meV/atom

Record 6
Li3Ge2P4 | PBE-GGA | optimized geometry

a b c (Å): 6.4833 7.5469 7.5469
angles (deg): 71.84 95.21 95.21
Last column: nearest neighbours and their distance in Å.
Atoms (fractional coordinates):
Ge  0.3574  0.6009  0.8240  4 P 2.36-2.51
Li  0.2500  0.6935  0.3065  4 P 2.53-2.65
P  0.9891  0.9268  0.2960  2 Ge 2.36-2.40, 3 Li 2.53-2.59
Li  0.3957  0.0142  0.8019  5 P 2.57-2.85
Ge  0.8574  0.8240  0.6009  4 P 2.36-2.51
P  0.9895  0.5366  0.8395  1 P 2.30, 2 Ge 2.40-2.51
Ge  0.1426  0.1760  0.3991  4 P 2.36-2.51
Ge  0.6426  0.3991  0.1760  4 P 2.36-2.51
P  0.0109  0.0732  0.7040  2 Ge 2.36-2.40, 3 Li 2.53-2.59
P  0.5109  0.7040  0.0732  2 Ge 2.36-2.40, 3 Li 2.53-2.59
P  0.4895  0.8395  0.5366  1 P 2.30, 2 Ge 2.40-2.51
Li  0.7500  0.3065  0.6935  4 P 2.53-2.65
P  0.0105  0.4634  0.1605  1 P 2.30, 2 Ge 2.40-2.51
P  0.5105  0.1605  0.4634  1 P 2.30, 2 Ge 2.40-2.51
Li  0.1043  0.1981  0.9858  5 P 2.57-2.85
Li  0.6043  0.9858  0.1981  5 P 2.57-2.85
Li  0.8957  0.8019  0.0142  5 P 2.57-2.85
P  0.4891  0.2960  0.9268  2 Ge 2.36-2.40, 3 Li 2.53-2.59

Calculated values
ΔH_f (0 K): -232 meV/atom

Record 7
Zr6P7 | PBE-GGA | optimized geometry

a b c (Å): 10.4175 10.4175 10.4175
angles (deg): 29.50 29.50 29.50
Last column: nearest neighbours and their distance in Å.
Atoms (fractional coordinates):
Zr  0.8100  0.8100  0.8100  3 P 2.56
Zr  0.3360  0.3360  0.3360  6 P 2.64-2.76
Zr  0.0559  0.0559  0.0559  6 P 2.71
P  0.5757  0.5757  0.0716  5 Zr 2.56-2.76, 4 P 2.63-2.67
P  0.0716  0.5757  0.5757  5 Zr 2.56-2.76, 4 P 2.63-2.67
Zr  0.6640  0.6640  0.6640  6 P 2.64-2.76
Zr  0.1900  0.1900  0.1900  3 P 2.56
P  0.9284  0.4243  0.4243  5 Zr 2.56-2.76, 4 P 2.63-2.67
P  0.5000  0.5000  0.5000  6 Zr 3.14, 6 P 3.16
P  0.4243  0.9284  0.4243  5 Zr 2.56-2.76, 4 P 2.63-2.67
Zr  0.9441  0.9441  0.9441  6 P 2.71
P  0.5757  0.0716  0.5757  5 Zr 2.56-2.76, 4 P 2.63-2.67
P  0.4243  0.4243  0.9284  5 Zr 2.56-2.76, 4 P 2.63-2.67

Calculated values
ΔH_f (0 K): -524 meV/atom

Record 8
CsKNpI6 | PBE-GGA | optimized geometry

a b c (Å): 8.7462 8.7462 15.7630
angles (deg): 90.00 90.00 120.00
Last column: nearest neighbours and their distance in Å.
Atoms (fractional coordinates):
I  0.6077  0.9519  0.8616  1 Np 3.02
K  0.3333  0.6667  0.2500  6 I 3.57
I  0.6077  0.6558  0.6384  1 Np 3.02
I  0.6558  0.0481  0.3616  1 Np 3.02
I  0.9519  0.3442  0.1384  1 Np 3.02
I  0.0481  0.3923  0.6384  1 Np 3.02
I  0.0481  0.6558  0.8616  1 Np 3.02
Cs  0.0000  0.0000  0.5000  6 I 3.91
Np  0.3333  0.6667  0.7500  6 I 3.02
I  0.3923  0.0481  0.1384  1 Np 3.02
I  0.9519  0.6077  0.3616  1 Np 3.02
K  0.6667  0.3333  0.7500  6 I 3.57
I  0.6558  0.6077  0.1384  1 Np 3.02
I  0.3442  0.9519  0.6384  1 Np 3.02
Cs  0.0000  0.0000  0.0000  6 I 3.91
I  0.3923  0.3442  0.3616  1 Np 3.02
I  0.3442  0.3923  0.8616  1 Np 3.02
Np  0.6667  0.3333  0.2500  6 I 3.02

Calculated values
Formation energy without anion corrections: -10.1 eV/f.u.

Number 1: Fermi-level density of states 1.05 states/eV/f.u.. Number 2: Fermi-level density of states 4.69 states/eV/f.u.. Number 3: Fermi-level density of states 14.49 states/eV/f.u.. Number 4: Fermi-level density of states 5.70 states/eV/f.u.. Number 5: Fermi-level density of states 0.50 states/eV/f.u.. Number 6: Fermi-level density of states 2.59 states/eV/f.u.. Number 7: Fermi-level density of states 6.77 states/eV/f.u.. Number 8: Fermi-level density of states 5.04 states/eV/f.u..